Entry 1:
First-principles (meta-GGA SCAN) data for a PBEsol-optimized structure of Ir2WCl, as listed in the Alexandria database.

Lattice parameters (Å, degrees): 2.7706 2.7706 8.3402 90.00 90.00 90.00
Atoms (fractional coordinates):
Ir: 0.0000 0.0000 0.0000
Ir: 0.5000 0.5000 0.2318
W: 0.0000 0.0000 0.4493
Cl: 0.5000 0.5000 0.6433

## Properties
- Uncorrected energy: -54.527 eV per atom
- N(E_F): 4.47 states/eV/cell
- Polymorph energy (0 for the lowest one): 0.0 meV/atom
- E_form (uncorrected): 0.44 eV/atom
- Volume: 64.0 Å³/cell
- Crystal system: tetragonal

---

Entry 2:
First-principles (meta-GGA SCAN) data for a PBEsol-optimized structure of Ir2WCl, as listed in the Alexandria database.

Lattice parameters (Å, degrees): 5.6957 5.6957 5.6957 152.37 133.48 54.97
Atoms (fractional coordinates):
Ir: 0.2252 0.2252 0.0000
Ir: 0.7748 0.7748 0.0000
W: 0.0000 0.5000 0.5000
Cl: 0.5000 0.0000 0.5000

## Properties
- Uncorrected energy: -54.403 eV per atom
- N(E_F): 2.52 states/eV/cell
- Polymorph energy (0 for the lowest one): 124.1 meV/atom
- E_form (uncorrected): 0.56 eV/atom
- Volume: 61.8 Å³/cell
- Crystal system: orthorhombic

---

Entry 3:
First-principles (meta-GGA SCAN) data for a PBEsol-optimized structure of IrW2Cl, as listed in the Alexandria database.

Lattice parameters (Å, degrees): 4.1451 5.3889 5.3889 29.94 90.00 90.00
Atoms (fractional coordinates):
Ir: 0.0000 0.0000 0.0000
W: 0.0000 0.7428 0.7428
W: 0.5000 0.4007 0.4007
Cl: 0.5000 0.6313 0.6313

## Properties
- Uncorrected energy: -54.067 eV per atom
- N(E_F): 2.22 states/eV/cell
- Polymorph energy (0 for the lowest one): 194.8 meV/atom
- E_form (uncorrected): 0.55 eV/atom
- Volume: 60.1 Å³/cell
- Crystal system: orthorhombic

---

Entry 4:
First-principles (meta-GGA SCAN) data for a PBEsol-optimized structure of IrW3Cl, as listed in the Alexandria database.

Lattice parameters (Å, degrees): 4.7662 4.7662 4.7662 90.00 90.00 90.00
Atoms (fractional coordinates):
Ir: 0.0000 0.0000 0.0000
W: 0.0000 0.0000 0.5000
W: 0.0000 0.5000 0.0000
W: 0.5000 0.0000 0.0000
Cl: 0.5000 0.5000 0.5000

## Properties
- Uncorrected energy: -55.373 eV per atom
- N(E_F): 5.57 states/eV/cell
- E_form (uncorrected): 2.26 eV/atom
- Volume: 108.3 Å³/cell
- Crystal system: cubic

---

Entry 5:
First-principles (meta-GGA SCAN) data for a PBEsol-optimized structure of IrWCl3, as listed in the Alexandria database.

Lattice parameters (Å, degrees): 4.7167 4.7167 4.7167 90.00 90.00 90.00
Atoms (fractional coordinates):
Ir: 0.0000 0.0000 0.0000
W: 0.5000 0.5000 0.5000
Cl: 0.0000 0.0000 0.5000
Cl: 0.0000 0.5000 0.0000
Cl: 0.5000 0.0000 0.0000

## Properties
- Uncorrected energy: -31.688 eV per atom
- N(E_F): 5.31 states/eV/cell
- E_form (uncorrected): 1.26 eV/atom
- Volume: 104.9 Å³/cell
- Crystal system: cubic

---

Entry 6:
First-principles (meta-GGA SCAN) data for a PBEsol-optimized structure of YIrCl2, as listed in the Alexandria database.

Lattice parameters (Å, degrees): 5.4776 5.4776 5.4776 138.71 138.71 59.81
Atoms (fractional coordinates):
Y: 0.0000 0.0000 0.0000
Ir: 0.2500 0.7500 0.5000
Cl: 0.5000 0.5000 0.0000
Cl: 0.7500 0.2500 0.5000

## Properties
- Uncorrected energy: -29.298 eV per atom
- N(E_F): 1.12 states/eV/cell
- Polymorph energy (0 for the lowest one): 0.0 meV/atom
- E_form (uncorrected): -0.57 eV/atom
- Volume: 70.8 Å³/cell
- Crystal system: tetragonal

---

Entry 7:
First-principles (meta-GGA SCAN) data for a PBEsol-optimized structure of YIrCl2, as listed in the Alexandria database.

Lattice parameters (Å, degrees): 4.2463 4.2463 3.8705 90.00 90.00 90.00
Atoms (fractional coordinates):
Y: 0.0000 0.0000 0.0000
Ir: 0.5000 0.5000 0.0000
Cl: 0.0000 0.5000 0.5000
Cl: 0.5000 0.0000 0.5000

## Properties
- Uncorrected energy: -29.153 eV per atom
- N(E_F): 2.64 states/eV/cell
- Polymorph energy (0 for the lowest one): 144.9 meV/atom
- E_form (uncorrected): -0.43 eV/atom
- Volume: 69.8 Å³/cell
- Crystal system: tetragonal

---

Entry 8:
First-principles (meta-GGA SCAN) data for a PBEsol-optimized structure of Y2IrCl, as listed in the Alexandria database.

Lattice parameters (Å, degrees): 7.5363 7.5363 7.5363 30.30 30.30 30.30
Atoms (fractional coordinates):
Y: 0.2350 0.2350 0.2350
Y: 0.7650 0.7650 0.7650
Ir: 0.5000 0.5000 0.5000
Cl: 0.0000 0.0000 0.0000

## Properties
- Uncorrected energy: -35.109 eV per atom
- N(E_F): 1.01 states/eV/cell
- E_form (uncorrected): -1.42 eV/atom
- Volume: 96.5 Å³/cell
- Crystal system: trigonal